16
Lattice="5.209 0.000 0.000 0.000 5.209 0.000 0.000 0.000 5.432" Properties=species:S:1:pos:R:3 comment="TaBeC2 | Alexandria via LeMat-Bulk | PBEsol | relaxed" space_group="I-42d (122)" magnetic_moment_mub_per_atom=0.000 e_form_ev_per_atom=0.40 pbc="T T T"
Ta 0.000 0.000 0.000
Ta 0.000 2.604 1.358
Ta 2.604 0.000 4.074
Ta 2.604 2.604 2.716
Be 0.000 0.000 2.716
Be 0.000 2.604 4.074
Be 2.604 0.000 1.358
Be 2.604 2.604 0.000
C 1.026 1.302 3.395
C 1.302 3.630 4.753
C 1.302 4.183 2.037
C 1.579 1.302 0.679
C 3.630 3.907 0.679
C 3.907 1.026 2.037
C 3.907 1.579 4.753
C 4.183 3.907 3.395